Density functional theory data (PBE) for a geometry-optimized Tm2ZrTl structure.

a b c (Å): 4.6258 4.6913 4.6913
angles (deg): 90.00 90.00 90.00
Fractional coordinates of all 4 atoms:
1 Tm 0.0000 0.0000 0.5000
2 Tl 0.5000 0.5000 0.5000
3 Zr 0.5000 0.0000 0.0000
4 Tm 0.0000 0.5000 0.0000

Summary:
* DFT formation energy: -0.09 eV per atom
* electronic total energy: -5.059 eV/atom